<A>
The following is a DFT calculation (PBE-GGA) of a relaxed Pr3Y6Ho2 crystal.

Cell lengths 3.607, 3.607, 32.217 Å; angles 86.79, 86.79, 60.00 degrees
Atoms (fractional coordinates):
Y (0.908, 0.908, 0.276)
Pr (0.000, 0.000, 0.000)
Y (0.636, 0.636, 0.092)
Ho (0.545, 0.545, 0.365)
Pr (0.272, 0.272, 0.184)
Y (0.818, 0.818, 0.545)
Ho (0.455, 0.455, 0.635)
Pr (0.728, 0.728, 0.816)
Y (0.364, 0.364, 0.908)
Y (0.182, 0.182, 0.455)
Y (0.092, 0.092, 0.724)

## Properties
The calculation puts the magnetization at 0.000 μB per atom. As for the symmetry: R-3m, No. 166.

<B>
The following is a DFT calculation (PBE-GGA) of a relaxed Pr3Y6Ho2 crystal.

Cell lengths 6.234, 6.245, 11.639 Å; angles 84.80, 79.55, 60.06 degrees
Atoms (fractional coordinates):
Pr (0.336, 0.329, 0.000)
Y (0.249, 0.000, 0.256)
Pr (0.000, 0.000, 0.000)
Y (0.419, 0.668, 0.744)
Ho (0.834, 0.332, 0.500)
Y (0.581, 0.332, 0.256)
Pr (0.664, 0.671, 0.000)
Y (0.087, 0.332, 0.744)
Y (0.751, 0.000, 0.744)
Y (0.913, 0.668, 0.256)
Ho (0.166, 0.668, 0.500)

## Properties
The calculation puts the magnetization at 0.133 μB per atom. As for the symmetry: C2/m, No. 12.

Q: Which of them is the least stable? A: <B>.

<A>
The following is a DFT calculation (PBE-GGA) of a relaxed Pr6Y4Ho crystal.

Cell lengths 9.986, 9.986, 9.986 Å; angles 56.09, 141.17, 141.17 degrees
Atoms (fractional coordinates):
Y (0.000, 0.640, 0.009)
Y (0.370, 0.360, 0.360)
Pr (0.000, 0.812, 0.456)
Pr (0.000, 0.456, 0.812)
Ho (0.000, 0.000, 0.000)
Pr (0.356, 0.544, 0.544)
Y (0.000, 0.009, 0.640)
Pr (0.500, 0.000, 0.500)
Pr (0.644, 0.188, 0.188)
Y (0.630, 0.991, 0.991)
Pr (0.500, 0.500, 0.000)

## Properties
The calculation puts the magnetization at 0.000 μB per atom. As for the symmetry: I-42m, No. 121.

<B>
The following is a DFT calculation (PBE-GGA) of a relaxed Pr6Y4Ho crystal.

Cell lengths 6.906, 6.906, 9.534 Å; angles 111.23, 111.23, 90.00 degrees
Atoms (fractional coordinates):
Y (0.715, 0.063, 0.778)
Y (0.285, 0.285, 0.222)
Pr (0.870, 0.486, 0.356)
Y (0.937, 0.937, 0.222)
Pr (0.500, 0.000, 0.000)
Y (0.063, 0.715, 0.778)
Pr (0.130, 0.130, 0.644)
Pr (0.486, 0.870, 0.356)
Pr (0.000, 0.500, 0.000)
Ho (0.500, 0.500, 0.000)
Pr (0.514, 0.514, 0.644)

## Properties
The calculation puts the magnetization at 0.000 μB per atom. As for the symmetry: I-42m, No. 121.

Q: Which of them is the least stable? A: <B>.

<A>
The following is a DFT calculation (PBE-GGA) of a relaxed PrY7Ho4 crystal.

Cell lengths 6.837, 6.533, 11.751 Å; angles 74.86, 50.46, 81.96 degrees
Atoms (fractional coordinates):
Ho (0.698, 0.838, 0.688)
Y (0.797, 0.517, 0.951)
Y (0.203, 0.483, 0.049)
Y (0.282, 0.810, 0.612)
Y (0.055, 0.319, 0.640)
Y (0.500, 0.000, 0.000)
Ho (0.522, 0.640, 0.287)
Y (0.945, 0.681, 0.360)
Ho (0.302, 0.162, 0.312)
Pr (0.000, 0.000, 0.000)
Y (0.718, 0.190, 0.388)
Ho (0.478, 0.360, 0.713)

## Properties
The calculation puts the magnetization at 0.000 μB per atom. As for the symmetry: P-1, No. 2.

<B>
The following is a DFT calculation (PBE-GGA) of a relaxed PrY7Ho4 crystal.

Cell lengths 5.884, 11.624, 6.730 Å; angles 82.67, 64.08, 75.34 degrees
Atoms (fractional coordinates):
Y (0.790, 0.922, 0.499)
Ho (0.633, 0.226, 0.508)
Y (0.942, 0.331, 0.784)
Ho (0.367, 0.774, 0.492)
Y (0.058, 0.669, 0.216)
Ho (0.251, 0.316, 0.182)
Y (0.500, 0.000, 0.000)
Ho (0.749, 0.684, 0.818)
Y (0.365, 0.505, 0.766)
Pr (0.000, 0.000, 0.000)
Y (0.210, 0.078, 0.501)
Y (0.635, 0.495, 0.234)

## Properties
The calculation puts the magnetization at 0.000 μB per atom. As for the symmetry: C2/m, No. 12.

Q: Which of them is the least stable? A: <B>.

<A>
The following is a DFT calculation (PBE-GGA) of a relaxed Pr3YHo7 crystal.

Cell lengths 6.715, 8.630, 6.529 Å; angles 81.37, 95.20, 80.66 degrees
Atoms (fractional coordinates):
Y (0.500, 0.500, 0.500)
Ho (0.291, 0.145, 0.437)
Ho (0.709, 0.855, 0.563)
Ho (0.733, 0.580, 0.988)
Ho (0.224, 0.786, 0.721)
Ho (0.267, 0.420, 0.012)
Ho (0.000, 0.500, 0.500)
Pr (0.938, 0.164, 0.802)
Pr (0.062, 0.836, 0.198)
Pr (0.500, 0.000, 0.000)
Ho (0.776, 0.214, 0.279)

## Properties
The calculation puts the magnetization at 0.000 μB per atom. As for the symmetry: P-1, No. 2.

<B>
The following is a DFT calculation (PBE-GGA) of a relaxed Pr3YHo7 crystal.

Cell lengths 8.714, 7.081, 7.081 Å; angles 120.00, 90.00, 90.00 degrees
Atoms (fractional coordinates):
Ho (0.444, 0.832, 0.168)
Ho (0.121, 0.167, 0.334)
Pr (0.784, 0.500, 0.500)
Pr (0.784, 0.999, 0.500)
Y (0.443, 0.333, 0.667)
Ho (0.124, 0.667, 0.333)
Pr (0.784, 0.500, 0.001)
Ho (0.444, 0.832, 0.665)
Ho (0.121, 0.167, 0.833)
Ho (0.121, 0.666, 0.833)
Ho (0.444, 0.335, 0.168)

## Properties
The calculation puts the magnetization at 0.000 μB per atom. As for the symmetry: P3m1, No. 156.

Q: Which of them is the least stable? A: <B>.

<A>
The following is a DFT calculation (PBE-GGA) of a relaxed Pr2Y3Ho3 crystal.

Cell lengths 3.610, 6.249, 12.134 Å; angles 75.10, 81.42, 89.98 degrees
Atoms (fractional coordinates):
Ho (0.500, 0.500, 0.000)
Y (0.123, 0.458, 0.753)
Y (0.000, 0.000, 0.000)
Y (0.877, 0.542, 0.247)
Pr (0.249, 0.248, 0.502)
Pr (0.751, 0.752, 0.498)
Ho (0.623, 0.956, 0.754)
Ho (0.377, 0.044, 0.246)

## Properties
The calculation puts the magnetization at 0.000 μB per atom. As for the symmetry: C2/m, No. 12.

<B>
The following is a DFT calculation (PBE-GGA) of a relaxed Pr2Y3Ho3 crystal.

Cell lengths 5.614, 6.584, 16.046 Å; angles 90.00, 90.00, 115.24 degrees
Atoms (fractional coordinates):
Ho (0.081, 0.162, 0.911)
Y (0.383, 0.766, 0.551)
Y (0.539, 0.078, 0.750)
Ho (0.919, 0.838, 0.089)
Ho (0.919, 0.838, 0.411)
Y (0.617, 0.234, 0.051)
Pr (0.219, 0.437, 0.129)
Ho (0.742, 0.484, 0.250)
Pr (0.781, 0.563, 0.871)
Y (0.383, 0.766, 0.949)
Y (0.461, 0.922, 0.250)
Pr (0.219, 0.437, 0.371)
Y (0.617, 0.234, 0.449)
Ho (0.258, 0.516, 0.750)
Ho (0.081, 0.162, 0.589)
Pr (0.781, 0.563, 0.629)

## Properties
The calculation puts the magnetization at 0.000 μB per atom. As for the symmetry: Cmcm, No. 63.

Q: Which of them is the least stable? A: <B>.

<A>
The following is a DFT calculation (PBE-GGA) of a relaxed Pr4Y2Ho crystal.

Cell lengths 12.694, 12.694, 6.880 Å; angles 97.02, 97.02, 150.18 degrees
Atoms (fractional coordinates):
Ho (0.673, 0.423, 0.000)
Y (0.623, 0.305, 0.451)
Pr (0.598, 0.562, 0.638)
Pr (0.038, 0.147, 0.602)
Y (0.305, 0.623, 0.951)
Pr (0.186, 0.795, 0.898)
Pr (0.174, 0.711, 0.363)
Pr (0.147, 0.038, 0.102)
Y (0.922, 0.104, 0.049)
Ho (0.423, 0.673, 0.500)
Y (0.104, 0.922, 0.549)
Pr (0.795, 0.186, 0.398)
Pr (0.562, 0.598, 0.138)
Pr (0.711, 0.174, 0.863)

## Properties
The calculation puts the magnetization at 0.000 μB per atom. As for the symmetry: Fdd2, No. 43.

<B>
The following is a DFT calculation (PBE-GGA) of a relaxed Pr4Y2Ho crystal.

Cell lengths 6.076, 6.232, 7.269 Å; angles 115.39, 90.00, 90.00 degrees
Atoms (fractional coordinates):
Y (0.500, 0.113, 0.227)
Y (0.500, 0.887, 0.773)
Ho (0.000, 0.500, 0.000)
Pr (0.500, 0.636, 0.273)
Pr (0.500, 0.364, 0.727)
Pr (0.000, 0.808, 0.616)
Pr (0.000, 0.192, 0.384)

## Properties
The calculation puts the magnetization at 0.000 μB per atom. As for the symmetry: Cmmm, No. 65.

Q: Which of them is the least stable? A: <B>.

<A>
The following is a DFT calculation (PBE-GGA) of a relaxed Pr8YHo2 crystal.

Cell lengths 6.748, 10.480, 10.480 Å; angles 38.30, 59.91, 59.91 degrees
Atoms (fractional coordinates):
Pr (0.234, 0.348, 0.826)
Ho (0.418, 0.196, 0.196)
Pr (0.766, 0.174, 0.652)
Pr (0.274, 0.404, 0.404)
Pr (0.167, 0.755, 0.755)
Pr (0.766, 0.652, 0.174)
Ho (0.582, 0.804, 0.804)
Pr (0.234, 0.826, 0.348)
Pr (0.833, 0.245, 0.245)
Pr (0.726, 0.596, 0.596)
Y (0.000, 0.000, 0.000)

## Properties
The calculation puts the magnetization at 0.000 μB per atom. As for the symmetry: C2/m, No. 12.

<B>
The following is a DFT calculation (PBE-GGA) of a relaxed Pr8YHo2 crystal.

Cell lengths 5.754, 8.381, 9.559 Å; angles 116.00, 107.52, 90.00 degrees
Atoms (fractional coordinates):
Pr (0.000, 0.295, 0.000)
Pr (0.000, 0.705, 0.000)
Pr (0.363, 0.160, 0.727)
Pr (0.162, 0.162, 0.325)
Ho (0.799, 0.299, 0.597)
Pr (0.637, 0.434, 0.273)
Y (0.500, 0.000, 0.000)
Pr (0.637, 0.840, 0.273)
Pr (0.838, 0.838, 0.675)
Pr (0.363, 0.566, 0.727)
Ho (0.201, 0.701, 0.403)

## Properties
The calculation puts the magnetization at 0.000 μB per atom. As for the symmetry: Immm, No. 71.

Q: Which of them is the least stable? A: <A>.

<A>
The following is a DFT calculation (PBE-GGA) of a relaxed Pr2Y5Ho4 crystal.

Cell lengths 3.472, 8.779, 12.107 Å; angles 96.12, 98.24, 90.00 degrees
Atoms (fractional coordinates):
Y (0.767, 0.176, 0.534)
Y (0.859, 0.877, 0.719)
Y (0.233, 0.824, 0.466)
Ho (0.677, 0.473, 0.355)
Y (0.500, 0.000, 0.000)
Ho (0.323, 0.527, 0.645)
Y (0.141, 0.123, 0.281)
Ho (0.046, 0.362, 0.091)
Pr (0.908, 0.259, 0.816)
Pr (0.092, 0.741, 0.184)
Ho (0.954, 0.638, 0.909)

## Properties
The calculation puts the magnetization at 0.000 μB per atom. As for the symmetry: C2/m, No. 12.

<B>
The following is a DFT calculation (PBE-GGA) of a relaxed Pr2Y5Ho4 crystal.

Cell lengths 6.692, 8.951, 10.311 Å; angles 39.88, 71.06, 68.05 degrees
Atoms (fractional coordinates):
Pr (0.798, 0.106, 0.297)
Y (0.000, 0.500, 0.500)
Ho (0.413, 0.769, 0.405)
Pr (0.202, 0.894, 0.703)
Y (0.827, 0.730, 0.092)
Ho (0.587, 0.231, 0.595)
Ho (0.756, 0.685, 0.803)
Y (0.351, 0.730, 0.092)
Y (0.173, 0.270, 0.908)
Y (0.649, 0.270, 0.908)
Ho (0.244, 0.315, 0.197)

## Properties
The calculation puts the magnetization at 0.000 μB per atom. As for the symmetry: C2/m, No. 12.

Q: Which of them is the least stable? A: <B>.

<A>
The following is a DFT calculation (PBE-GGA) of a relaxed Pr12YHo6 crystal.

Cell lengths 9.323, 9.323, 9.323 Å; angles 106.65, 106.65, 106.65 degrees
Atoms (fractional coordinates):
Ho (0.190, 0.455, 0.077)
Pr (0.826, 0.279, 0.132)
Ho (0.810, 0.545, 0.923)
Pr (0.174, 0.721, 0.868)
Pr (0.807, 0.419, 0.516)
Ho (0.545, 0.923, 0.810)
Pr (0.419, 0.516, 0.807)
Ho (0.923, 0.810, 0.545)
Pr (0.721, 0.868, 0.174)
Y (0.000, 0.000, 0.000)
Pr (0.484, 0.193, 0.581)
Ho (0.077, 0.190, 0.455)
Ho (0.455, 0.077, 0.190)
Pr (0.279, 0.132, 0.826)
Pr (0.868, 0.174, 0.721)
Pr (0.516, 0.807, 0.419)
Pr (0.193, 0.581, 0.484)
Pr (0.581, 0.484, 0.193)
Pr (0.132, 0.826, 0.279)

## Properties
The calculation puts the magnetization at 0.000 μB per atom. As for the symmetry: R-3, No. 148.

<B>
The following is a DFT calculation (PBE-GGA) of a relaxed Pr12YHo6 crystal.

Cell lengths 8.740, 8.740, 8.740 Å; angles 88.90, 88.90, 88.90 degrees
Atoms (fractional coordinates):
Pr (0.567, 0.218, 0.464)
Ho (0.741, 0.900, 0.295)
Pr (0.018, 0.193, 0.364)
Ho (0.705, 0.259, 0.100)
Pr (0.782, 0.536, 0.433)
Ho (0.259, 0.100, 0.705)
Pr (0.807, 0.636, 0.982)
Ho (0.100, 0.705, 0.259)
Pr (0.636, 0.982, 0.807)
Pr (0.433, 0.782, 0.536)
Y (0.000, 0.000, 0.000)
Pr (0.364, 0.018, 0.193)
Ho (0.900, 0.295, 0.741)
Pr (0.193, 0.364, 0.018)
Pr (0.982, 0.807, 0.636)
Ho (0.295, 0.741, 0.900)
Pr (0.536, 0.433, 0.782)
Pr (0.464, 0.567, 0.218)
Pr (0.218, 0.464, 0.567)

## Properties
The calculation puts the magnetization at 0.000 μB per atom. As for the symmetry: R-3, No. 148.

Q: Which of them is the least stable? A: <A>.

<A>
The following is a DFT calculation (PBE-GGA) of a relaxed PrY2Ho7 crystal.

Cell lengths 6.152, 10.653, 7.940 Å; angles 107.32, 104.89, 39.71 degrees
Atoms (fractional coordinates):
Ho (0.500, 0.500, 0.000)
Ho (0.801, 0.599, 0.800)
Ho (0.300, 0.100, 0.800)
Y (0.596, 0.202, 0.599)
Pr (0.000, 0.000, 0.000)
Ho (0.199, 0.401, 0.200)
Ho (0.102, 0.699, 0.600)
Y (0.404, 0.798, 0.401)
Ho (0.898, 0.301, 0.400)
Ho (0.700, 0.900, 0.200)

## Properties
The calculation puts the magnetization at 0.000 μB per atom. As for the symmetry: P-1, No. 2.

<B>
The following is a DFT calculation (PBE-GGA) of a relaxed PrY2Ho7 crystal.

Cell lengths 5.421, 9.450, 9.450 Å; angles 125.64, 90.00, 90.00 degrees
Atoms (fractional coordinates):
Y (0.500, 0.703, 0.297)
Y (0.500, 0.297, 0.703)
Ho (0.000, 0.203, 0.797)
Ho (0.500, 0.066, 0.288)
Pr (0.000, 0.000, 0.000)
Ho (0.500, 0.288, 0.066)
Ho (0.500, 0.500, 0.500)
Ho (0.500, 0.934, 0.712)
Ho (0.500, 0.712, 0.934)
Ho (0.000, 0.797, 0.203)

## Properties
The calculation puts the magnetization at 0.000 μB per atom. As for the symmetry: Cmmm, No. 65.

Q: Which of them is the least stable? A: <B>.